Entry 1:
Entry from the Alexandria database: LaMn2Ge2 at its PBEsol-relaxed geometry (SCAN).

Values from the calculation:
* DFT total energy: -24.16 eV per atom
* DOS(E_F): 0.61 states/eV/atom

Lattice parameters (Å, degrees): 6.1330 6.1330 6.1330 141.99 141.99 54.85
Fractional coordinates of all 5 atoms:
1 La 0.0000 0.0000 0.0000
2 Mn 0.2500 0.7500 0.5000
3 Mn 0.7500 0.2500 0.5000
4 Ge 0.3732 0.3732 0.0000
5 Ge 0.6268 0.6268 0.0000

***

Entry 2:
Entry from the Alexandria database: LaGe3Mo at its PBEsol-relaxed geometry (SCAN).

Values from the calculation:
* DFT total energy: -25.44 eV per atom
* DOS(E_F): 0.53 states/eV/atom

Lattice parameters (Å, degrees): 5.3898 5.3898 5.3898 90.00 90.00 90.00
Fractional coordinates of all 5 atoms:
1 La 0.0000 0.0000 0.0000
2 Ge 0.0000 0.0000 0.5000
3 Ge 0.0000 0.5000 0.0000
4 Ge 0.5000 0.0000 0.0000
5 Mo 0.5000 0.5000 0.5000

***

Entry 3:
Entry from the Alexandria database: NaLaGeN2 at its PBEsol-relaxed geometry (SCAN).

Values from the calculation:
* ΔE_f (raw): 430 kJ/mol of formula units
* DOS(E_F): 0.74 states/eV/atom

Lattice parameters (Å, degrees): 4.4276 4.4276 5.8428 90.00 90.00 90.00
Fractional coordinates of all 5 atoms:
1 Na 0.0000 0.0000 0.0000
2 La 0.5000 0.5000 0.5000
3 Ge 0.5000 0.5000 0.0000
4 N 0.0000 0.5000 0.5000
5 N 0.5000 0.0000 0.5000

***

Entry 4:
Entry from the Alexandria database: LaReGeN2 at its PBEsol-relaxed geometry (SCAN).

Values from the calculation:
* ΔE_f (raw): -42 kJ/mol of formula units
* DOS(E_F): 0.53 states/eV/atom

Lattice parameters (Å, degrees): 4.0042 4.0042 4.8717 90.00 90.00 90.00
Fractional coordinates of all 5 atoms:
1 La 0.0000 0.0000 0.0000
2 Re 0.5000 0.5000 0.5000
3 Ge 0.5000 0.5000 0.0000
4 N 0.0000 0.5000 0.5000
5 N 0.5000 0.0000 0.5000

***

Entry 5:
Entry from the Alexandria database: LaGeS2N at its PBEsol-relaxed geometry (SCAN).

Values from the calculation:
* ΔE_f (raw): 137 kJ/mol of formula units
* DOS(E_F): 0.82 states/eV/atom

Lattice parameters (Å, degrees): 5.4434 5.4434 4.1161 90.00 90.00 90.00
Fractional coordinates of all 5 atoms:
1 La 0.0000 0.0000 0.0000
2 Ge 0.5000 0.5000 0.5000
3 S 0.0000 0.5000 0.0000
4 S 0.5000 0.0000 0.0000
5 N 0.0000 0.0000 0.5000

***

Entry 6:
Entry from the Alexandria database: NaLa3Ge at its PBEsol-relaxed geometry (SCAN).

Values from the calculation:
* DFT total energy: -30.64 eV per atom
* DOS(E_F): 1.02 states/eV/atom

Lattice parameters (Å, degrees): 5.8239 5.8239 5.8239 90.00 90.00 90.00
Fractional coordinates of all 5 atoms:
1 Na 0.0000 0.0000 0.0000
2 La 0.0000 0.5000 0.5000
3 La 0.5000 0.0000 0.5000
4 La 0.5000 0.5000 0.0000
5 Ge 0.5000 0.5000 0.5000

***

Entry 7:
Entry from the Alexandria database: LaNbGe2Ru at its PBEsol-relaxed geometry (SCAN).

Values from the calculation:
* DFT total energy: -28.92 eV per atom
* DOS(E_F): 0.87 states/eV/atom

Lattice parameters (Å, degrees): 4.8930 4.8930 5.2541 90.00 90.00 90.00
Fractional coordinates of all 5 atoms:
1 La 0.0000 0.0000 0.0000
2 Nb 0.0000 0.0000 0.5000
3 Ge 0.0000 0.5000 0.5000
4 Ge 0.5000 0.0000 0.5000
5 Ru 0.5000 0.5000 0.0000

***

Entry 8:
Entry from the Alexandria database: LaNb2SnGe at its PBEsol-relaxed geometry (SCAN).

Values from the calculation:
* DFT total energy: -32.49 eV per atom
* DOS(E_F): 1.00 states/eV/atom

Lattice parameters (Å, degrees): 4.8234 4.8234 5.4588 90.00 90.00 90.00
Fractional coordinates of all 5 atoms:
1 La 0.0000 0.0000 0.0000
2 Nb 0.0000 0.5000 0.5000
3 Nb 0.5000 0.0000 0.5000
4 Sn 0.5000 0.5000 0.0000
5 Ge 0.0000 0.0000 0.5000

***

Entry 9:
Entry from the Alexandria database: SrLaNbGe2 at its PBEsol-relaxed geometry (SCAN).

Values from the calculation:
* DFT total energy: -27.36 eV per atom
* DOS(E_F): 0.50 states/eV/atom

Lattice parameters (Å, degrees): 5.1561 5.1561 5.1825 90.00 90.00 90.00
Fractional coordinates of all 5 atoms:
1 Sr 0.0000 0.0000 0.0000
2 La 0.5000 0.5000 0.0000
3 Nb 0.5000 0.5000 0.5000
4 Ge 0.0000 0.5000 0.5000
5 Ge 0.5000 0.0000 0.5000

***

Entry 10:
Entry from the Alexandria database: La2NbTlGe at its PBEsol-relaxed geometry (SCAN).

Values from the calculation:
* DFT total energy: -41.70 eV per atom
* DOS(E_F): 0.92 states/eV/atom

Lattice parameters (Å, degrees): 5.6655 5.6655 5.0408 90.00 90.00 90.00
Fractional coordinates of all 5 atoms:
1 La 0.0000 0.5000 0.0000
2 La 0.5000 0.0000 0.0000
3 Nb 0.0000 0.0000 0.5000
4 Tl 0.5000 0.5000 0.5000
5 Ge 0.5000 0.5000 0.0000

***

Entry 11:
Entry from the Alexandria database: LaNi9Ge4 at its PBEsol-relaxed geometry (SCAN).

Values from the calculation:
* DFT total energy: -19.37 eV per atom
* DOS(E_F): 0.84 states/eV/atom

Lattice parameters (Å, degrees): 8.0503 8.0503 8.0503 121.37 121.37 87.64
Fractional coordinates of all 28 atoms:
1 La 0.2500 0.2500 0.0000
2 La 0.7500 0.7500 0.0000
3 Ni 0.0000 0.5000 0.5000
4 Ni 0.0573 0.5573 0.2522
5 Ni 0.0672 0.7953 0.8625
6 Ni 0.1950 0.9427 0.5000
7 Ni 0.2047 0.0672 0.2720
8 Ni 0.2953 0.5672 0.8625
9 Ni 0.3050 0.8050 0.7478
10 Ni 0.4328 0.2953 0.7280
11 Ni 0.4427 0.6950 0.5000
12 Ni 0.5000 0.0000 0.5000
13 Ni 0.5573 0.3050 0.5000
14 Ni 0.5672 0.7047 0.2720
15 Ni 0.6950 0.1950 0.2522
16 Ni 0.7047 0.4328 0.1375
17 Ni 0.7953 0.9328 0.7280
18 Ni 0.8050 0.0573 0.5000
19 Ni 0.9328 0.2047 0.1375
20 Ni 0.9427 0.4427 0.7478
21 Ge 0.0520 0.2044 0.5000
22 Ge 0.2044 0.7044 0.1524
23 Ge 0.2956 0.4480 0.5000
24 Ge 0.4480 0.9480 0.1524
25 Ge 0.5520 0.0520 0.8476
26 Ge 0.7044 0.5520 0.5000
27 Ge 0.7956 0.2956 0.8476
28 Ge 0.9480 0.7956 0.5000

***

Entry 12:
Entry from the Alexandria database: La5NiGe3 at its PBEsol-relaxed geometry (SCAN).

Values from the calculation:
* DFT total energy: -32.80 eV per atom
* DOS(E_F): 0.61 states/eV/atom

Lattice parameters (Å, degrees): 8.9346 8.9346 6.9801 90.00 90.00 120.00
Fractional coordinates of all 18 atoms:
1 La 0.0000 0.2479 0.2500
2 La 0.0000 0.7521 0.7500
3 La 0.2479 0.0000 0.2500
4 La 0.2479 0.2479 0.7500
5 La 0.3333 0.6667 0.0000
6 La 0.3333 0.6667 0.5000
7 La 0.6667 0.3333 0.0000
8 La 0.6667 0.3333 0.5000
9 La 0.7521 0.0000 0.7500
10 La 0.7521 0.7521 0.2500
11 Ni 0.0000 0.0000 0.0000
12 Ni 0.0000 0.0000 0.5000
13 Ge 0.0000 0.4024 0.7500
14 Ge 0.0000 0.5976 0.2500
15 Ge 0.4024 0.0000 0.7500
16 Ge 0.4024 0.4024 0.2500
17 Ge 0.5976 0.0000 0.2500
18 Ge 0.5976 0.5976 0.7500

***

Question: Which value of DOS(E_F) does entry 2 give?
Answer: 0.53 states/eV/atom

***

Question: Which of these has the highest DOS(E_F)?
Answer: NaLa3Ge